PBE-GGA KMn2Br6, optimized geometry; energy relative to the lowest polymorph listed for this composition = 0.0000 eV per atom; DOS(E_F) = 5.179 states/eV/cell; E = -4.2184 eV per atom; symmetry = P-31m (162); uncorrected formation energy = -91.0 kJ per mole of atoms; total moment = 9.00 μB/cell
1.0
6.835 0.000 0.000
-3.418 5.920 0.000
0.000 0.000 7.347
K Mn Br
1 2 6
Direct
0.000 0.000 0.000 K
0.333 0.667 0.500 Mn
0.667 0.333 0.500 Mn
0.000 0.379 0.706 Br
0.000 0.621 0.294 Br
0.379 0.000 0.706 Br
0.379 0.379 0.294 Br
0.621 0.000 0.294 Br
0.621 0.621 0.706 Br

=====

PBE-GGA Dy2Tm5Ge4, optimized geometry; DOS(E_F) = 8.912 states/eV/cell; E = -4.8940 eV per atom; symmetry = C2/m (12); ΔH_f (0 K) = -33.4 kJ per mole of atoms; total moment = 0.00 μB/cell
1.0
12.599 -1.713 0.000
12.599 1.713 0.000
-0.184 0.000 6.839
Dy Tm Ge
2 5 4
Direct
0.093 0.093 0.200 Dy
0.907 0.907 0.800 Dy
0.133 0.133 0.695 Tm
0.237 0.237 0.264 Tm
0.500 0.500 0.500 Tm
0.763 0.763 0.736 Tm
0.867 0.867 0.305 Tm
0.025 0.025 0.840 Ge
0.325 0.325 0.997 Ge
0.675 0.675 0.003 Ge
0.975 0.975 0.160 Ge

=====

PBE-GGA CaAc4Sm, optimized geometry; energy relative to the lowest polymorph listed for this composition = 0.1625 eV per atom; DOS(E_F) = 17.310 states/eV/cell; E = -3.6601 eV per atom; symmetry = Pmma (51); ΔH_f (0 K) = 19.2 kJ per mole of atoms; total moment = 0.00 μB/cell
1.0
10.834 0.000 0.000
0.000 5.266 0.000
0.000 0.000 9.466
Ca Ac Sm
2 8 2
Direct
0.250 0.000 0.141 Ca
0.750 0.000 0.859 Ca
0.000 0.000 0.500 Ac
0.031 0.500 0.808 Ac
0.250 0.500 0.477 Ac
0.469 0.500 0.808 Ac
0.500 0.000 0.500 Ac
0.531 0.500 0.192 Ac
0.750 0.500 0.523 Ac
0.969 0.500 0.192 Ac
0.250 0.000 0.748 Sm
0.750 0.000 0.252 Sm

=====

PBE-GGA Dy4Ni3, optimized geometry; DOS(E_F) = 4.428 states/eV/cell; E = -5.4339 eV per atom; symmetry = C2/m (12); ΔH_f (0 K) = -31.5 kJ per mole of atoms; total moment = 0.00 μB/cell
1.0
6.832 -2.177 0.000
6.832 2.177 0.000
-1.435 0.000 5.338
Dy Ni
4 3
Direct
0.092 0.092 0.278 Dy
0.341 0.341 0.196 Dy
0.659 0.659 0.804 Dy
0.908 0.908 0.722 Dy
0.270 0.270 0.657 Ni
0.500 0.500 0.000 Ni
0.730 0.730 0.343 Ni